Below is V6O5F19 after structural relaxation, with properties calculated at the GGA+U level.

Cell: 5.576 5.717 14.494 Å, 78.63 88.85 84.23°
Element x y z (fractional)
V 0.000 0.000 0.000
V 0.001 0.666 0.668
V 0.368 0.709 0.335
V 0.498 0.498 0.008
V 0.501 0.162 0.676
V 0.906 0.244 0.339
O 0.174 0.521 0.325
O 0.190 0.864 0.651
O 0.194 0.193 0.983
O 0.681 0.685 0.025
O 0.688 0.345 0.693
F 0.009 0.196 0.457
F 0.014 0.870 0.121
F 0.018 0.535 0.790
F 0.166 0.007 0.309
F 0.208 0.720 0.978
F 0.215 0.390 0.646
F 0.362 0.736 0.455
F 0.369 0.059 0.788
F 0.370 0.391 0.119
F 0.496 0.797 0.223
F 0.517 0.488 0.887
F 0.518 0.153 0.555
F 0.653 0.490 0.367
F 0.690 0.024 0.351
F 0.717 0.865 0.699
F 0.720 0.204 0.030
F 0.868 0.011 0.889
F 0.870 0.675 0.557
F 0.875 0.364 0.217

Calculated values
Raw total energy   -175.65 eV per cell
Energy relative to the lowest polymorph listed for this composition   5 meV/atom